Below is an optimized crystal structure of ZrCrNF2, with properties calculated at the PBE with a Hubbard U level.

Cell lengths 3.7383, 3.7383, 4.8693 Å; angles 90.00, 90.00, 90.00 degrees
Atoms (fractional coordinates):
Zr1 0.0000 0.0000 0.0000
Cr1 0.5000 0.5000 0.5000
N1 0.5000 0.5000 0.0000
F1 0.0000 0.5000 0.5000
F2 0.5000 0.0000 0.5000

Excess energy over the best structure of this formula in the dataset: 493.7 meV per atom